Entry 1:
## InBiP2O (PBE-GGA)

Data for an optimized crystal structure of InBiP2O.

Unit cell a=5.1573 b=5.1573 c=4.0448 alpha=90.00 beta=90.00 gamma=90.00
Sites, in units of the cell vectors:
P 0.5000 0.0000 0.0000
P 0.0000 0.5000 0.0000
In 0.0000 0.0000 0.0000
O 0.0000 0.0000 0.5000
Bi 0.5000 0.5000 0.5000

Values from the calculation:
formation energy without anion corrections: 0.36 eV/atom
E_tot: -4.1167 eV per atom


Entry 2:
## InBiP2O (PBE-GGA)

Data for an optimized crystal structure of InBiP2O.

Unit cell a=5.3319 b=5.3319 c=4.1914 alpha=90.00 beta=90.00 gamma=90.00
Sites, in units of the cell vectors:
O 0.0000 0.0000 0.5000
In 0.5000 0.5000 0.5000
P 0.5000 0.0000 0.0000
P 0.0000 0.5000 0.0000
Bi 0.0000 0.0000 0.0000

Values from the calculation:
formation energy without anion corrections: 0.51 eV/atom
E_tot: -3.9659 eV per atom


Entry 3:
## InBiPO2 (PBE-GGA)

Data for an optimized crystal structure of InBiPO2.

Unit cell a=4.1820 b=4.1820 c=5.1466 alpha=90.00 beta=90.00 gamma=90.00
Each line ends with the local moment (μB).
Sites, in units of the cell vectors:
Bi 0.5000 0.5000 0.5000  -0.01
O 0.0000 0.5000 0.0000  0.09
O 0.5000 0.0000 0.0000  0.09
In 0.0000 0.0000 0.0000  0.00
P 0.0000 0.0000 0.5000  0.01

Values from the calculation:
formation energy without anion corrections: -0.18 eV/atom
E_tot: -4.5735 eV per atom


Entry 4:
## PaIn2BiO8 (PBE-GGA)

Data for an optimized crystal structure of PaIn2BiO8.

Unit cell a=6.1413 b=6.1413 c=6.1413 alpha=111.24 beta=111.24 gamma=106.00
Sites, in units of the cell vectors:
O 0.3465 0.0350 0.3115
O 0.9042 0.7143 0.1898
O 0.2857 0.4755 0.1898
O 0.5245 0.7143 0.8102
O 0.9650 0.6535 0.6885
O 0.7236 0.0350 0.6885
O 0.2857 0.0958 0.8102
O 0.9650 0.2764 0.3115
Bi 0.0000 0.0000 0.0000
Pa 0.2500 0.7500 0.5000
In 0.5000 0.5000 0.0000
In 0.7500 0.2500 0.5000

Values from the calculation:
formation energy without anion corrections: -1.74 eV/atom
E_tot: -6.6216 eV per atom